Below is a geometry-optimized VGaAuF2 structure, with properties calculated at the GGA+U level.

Cell: 3.871 3.871 6.297 Å, 90.00 90.00 90.00°
Fractional coordinates of all 5 atoms:
1 V 0.000 0.000 0.000
2 Ga 0.000 0.000 0.500
3 Au 0.500 0.500 0.500
4 F 0.000 0.500 0.000
5 F 0.500 0.000 0.000

- SG = P4/mmm, No. 123
- total moment (μB per formula unit) = 2.87
- VASP energy (eV/cell) = -23.5